Compound: Li6Ni5O10
Source: Alexandria
Functional: PBE+U
Structure: optimized geometry

```
Li6Ni5O10
1.0
5.2663 0.0000 0.0000
2.1875 5.1656 0.0000
2.5945 1.6245 7.0955
Li Ni O
6 5 10
Cartesian
2.2800 1.2645 3.2345 Li
5.4558 6.0474 5.3966 Li
1.8653 0.5394 0.6575 Li
8.1830 6.2508 6.4380 Li
4.5925 0.7427 1.6989 Li
7.7683 5.5256 3.8610 Li
3.6849 3.8604 5.6957 Ni
3.7551 3.2892 2.8109 Ni
3.7269 2.5828 0.0000 Ni
6.2932 3.5009 4.2846 Ni
6.3634 2.9297 1.3998 Ni
4.4485 5.2146 6.8408 O
2.9056 2.5551 4.5285 O
4.4339 4.7045 4.1188 O
2.9734 1.8236 1.5941 O
4.5538 3.9318 1.0671 O
5.4945 2.8584 6.0284 O
7.0749 4.9665 5.5014 O
5.6144 2.0856 2.9768 O
7.1427 4.2350 2.5671 O
5.5998 1.5755 0.2547 O
```

Results
Total magnetic moment (μB/atom): 0.29
Density of states at the Fermi level (states/eV per atom): 0.248
Final energy (eV/atom): -4.80